## LiEr5Rh6 (GGA-PBE)

Data for a relaxed structure of LiEr5Rh6.

a = 4.6855 Å, b = 8.1549 Å, c = 8.1549 Å
α = 119.36°, β = 106.70°, γ = 106.70°
With the nearest neighbours (Å) after each atom.
Fractional coordinates of all 12 atoms:
Rh 0.7478 0.5812 0.9144  7 Er 2.84-3.05, 1 Li 2.90
Rh 0.2522 0.4188 0.0856  7 Er 2.84-3.05, 1 Li 2.90
Rh 0.2522 0.0856 0.4188  7 Er 2.84-3.05, 1 Li 2.90
Rh 0.7611 0.2611 0.2611  6 Er 2.78-2.91, 2 Li 2.93
Rh 0.2389 0.7389 0.7389  6 Er 2.78-2.91, 2 Li 2.93
Rh 0.7478 0.9144 0.5812  7 Er 2.84-3.05, 1 Li 2.90
Er 0.0000 0.6718 0.3282  8 Rh 2.84-2.91
Er 0.5000 0.8476 0.1524  8 Rh 2.78-3.05
Er 0.5000 0.1524 0.8476  8 Rh 2.78-3.05
Er 0.0000 0.3282 0.6718  8 Rh 2.84-2.91
Er 0.5000 0.5000 0.5000  8 Rh 2.85-2.88
Li 0.0000 0.0000 0.0000  8 Rh 2.90-2.93, 4 Er 3.18

Summary:
electronic total energy = -6.57 eV/atom
total magnetic moment = 0.000 μB per formula unit